The following is a DFT calculation (PBE-GGA) of a relaxed SmU3As4 crystal.

Computed properties:
VASP energy = -0.2966 hartree per atom
crystal system = orthorhombic

Geometry as CIF:
```
data_SmU3As4
_space_group_name_H-M_alt 'P 1'
_space_group_IT_number 1
_cell_length_a 4.0725
_cell_length_b 7.1611
_cell_length_c 7.1611
_cell_angle_alpha 71.13
_cell_angle_beta 90.00
_cell_angle_gamma 90.00
loop_
_space_group_symop_operation_xyz
'x,y,z'
loop_
_atom_site_label
_atom_site_fract_x
_atom_site_fract_y
_atom_site_fract_z
As1 0.0000 0.7555 0.7446
As2 0.4999 0.7522 0.2520
As3 0.0000 0.2447 0.2554
As4 0.5000 0.2481 0.7479
U1 0.5000 0.0001 0.5000
U2 0.0000 0.0001 0.0000
U3 0.0000 0.5001 0.5000
Sm1 0.5000 0.5001 0.0000
```